1.
# AcNd7Tm4 | the Alexandria database | PBE-GGA | relaxed
# * M_tot: 0.00 μB/f.u.
# * ΔE_f: 1.0 kJ/mol of atoms
# * raw total energy: -55.24 eV/cell
data_AcNd7Tm4
_space_group_name_H-M_alt 'P 1'
_space_group_IT_number 1
_space_group_name_Hall 'P 1'
_cell_length_a 7.346
_cell_length_b 6.359
_cell_length_c 11.656
_cell_angle_alpha 79.51
_cell_angle_beta 50.87
_cell_angle_gamma 90.01
loop_
_atom_site_label
_atom_site_type_symbol
_atom_site_fract_x
_atom_site_fract_y
_atom_site_fract_z
Ac1 Ac 0.000 0.000 0.000
Nd1 Nd 0.740 0.500 0.003
Nd2 Nd 0.260 0.500 0.997
Nd3 Nd 0.084 0.284 0.662
Nd4 Nd 0.916 0.716 0.338
Nd5 Nd 0.338 0.774 0.661
Nd6 Nd 0.500 0.000 0.000
Nd7 Nd 0.662 0.226 0.339
Tm1 Tm 0.405 0.722 0.337
Tm2 Tm 0.595 0.278 0.663
Tm3 Tm 0.837 0.783 0.663
Tm4 Tm 0.163 0.217 0.337

***

2.
# Ac2Nd12Tm5 | the Alexandria database | PBE-GGA | relaxed
# * M_tot: 0.00 μB/f.u.
# * ΔE_f: 11.4 kJ/mol of atoms
# * raw total energy: -85.54 eV/cell
data_Ac2Nd12Tm5
_space_group_name_H-M_alt 'P 1'
_space_group_IT_number 1
_space_group_name_Hall 'P 1'
_cell_length_a 11.739
_cell_length_b 8.862
_cell_length_c 9.593
_cell_angle_alpha 70.09
_cell_angle_beta 90.00
_cell_angle_gamma 131.48
loop_
_atom_site_label
_atom_site_type_symbol
_atom_site_fract_x
_atom_site_fract_y
_atom_site_fract_z
Ac1 Ac 0.733 0.000 0.000
Ac2 Ac 0.267 0.000 0.000
Nd1 Nd 0.126 0.253 0.059
Nd2 Nd 0.053 0.622 0.798
Nd3 Nd 0.569 0.622 0.798
Nd4 Nd 0.174 0.779 0.425
Nd5 Nd 0.605 0.779 0.425
Nd6 Nd 0.422 0.845 0.778
Nd7 Nd 0.578 0.155 0.222
Nd8 Nd 0.826 0.221 0.575
Nd9 Nd 0.395 0.221 0.575
Nd10 Nd 0.947 0.378 0.202
Nd11 Nd 0.431 0.378 0.202
Nd12 Nd 0.874 0.747 0.941
Tm1 Tm 0.190 0.379 0.668
Tm2 Tm 0.305 0.610 0.245
Tm3 Tm 0.000 0.000 0.500
Tm4 Tm 0.695 0.390 0.755
Tm5 Tm 0.810 0.621 0.332

***

3.
# Ac8NdTm2 | the Alexandria database | PBE-GGA | relaxed
# * M_tot: 0.00 μB/f.u.
# * ΔE_f: 34.7 kJ/mol of atoms
# * raw total energy: -42.62 eV/cell
data_Ac8NdTm2
_space_group_name_H-M_alt 'P 1'
_space_group_IT_number 1
_space_group_name_Hall 'P 1'
_cell_length_a 6.214
_cell_length_b 9.104
_cell_length_c 9.104
_cell_angle_alpha 84.59
_cell_angle_beta 80.44
_cell_angle_gamma 80.44
loop_
_atom_site_label
_atom_site_type_symbol
_atom_site_fract_x
_atom_site_fract_y
_atom_site_fract_z
Ac1 Ac 0.810 0.143 0.634
Ac2 Ac 0.190 0.366 0.857
Ac3 Ac 0.494 0.143 0.143
Ac4 Ac 0.506 0.857 0.857
Ac5 Ac 0.810 0.634 0.143
Ac6 Ac 0.190 0.857 0.366
Ac7 Ac 0.293 0.420 0.420
Ac8 Ac 0.707 0.580 0.580
Nd1 Nd 0.000 0.000 0.000
Tm1 Tm 0.922 0.261 0.261
Tm2 Tm 0.078 0.739 0.739

***

4.
# Ac5Nd5Tm2 | the Alexandria database | PBE-GGA | relaxed
# * M_tot: 0.00 μB/f.u.
# * ΔE_f: 7.7 kJ/mol of atoms
# * raw total energy: -52.37 eV/cell
data_Ac5Nd5Tm2
_space_group_name_H-M_alt 'P 1'
_space_group_IT_number 1
_space_group_name_Hall 'P 1'
_cell_length_a 5.955
_cell_length_b 9.510
_cell_length_c 9.547
_cell_angle_alpha 66.06
_cell_angle_beta 71.83
_cell_angle_gamma 71.75
loop_
_atom_site_label
_atom_site_type_symbol
_atom_site_fract_x
_atom_site_fract_y
_atom_site_fract_z
Ac1 Ac 0.878 0.784 0.460
Ac2 Ac 0.252 0.737 0.760
Ac3 Ac 0.748 0.263 0.240
Ac4 Ac 0.122 0.216 0.540
Ac5 Ac 0.000 0.000 0.000
Nd1 Nd 0.500 0.500 0.500
Nd2 Nd 0.377 0.292 0.954
Nd3 Nd 0.377 0.961 0.285
Nd4 Nd 0.623 0.039 0.715
Nd5 Nd 0.623 0.708 0.046
Tm1 Tm 0.872 0.456 0.799
Tm2 Tm 0.128 0.544 0.201

***

5.
# Ac3Nd7Tm2 | the Alexandria database | PBE-GGA | relaxed
# * M_tot: 0.00 μB/f.u.
# * ΔE_f: 11.3 kJ/mol of atoms
# * raw total energy: -53.23 eV/cell
data_Ac3Nd7Tm2
_space_group_name_H-M_alt 'P 1'
_space_group_IT_number 1
_space_group_name_Hall 'P 1'
_cell_length_a 20.181
_cell_length_b 20.181
_cell_length_c 3.731
_cell_angle_alpha 90.00
_cell_angle_beta 90.00
_cell_angle_gamma 162.99
loop_
_atom_site_label
_atom_site_type_symbol
_atom_site_fract_x
_atom_site_fract_y
_atom_site_fract_z
Ac1 Ac 0.500 0.500 0.500
Ac2 Ac 0.184 0.816 0.000
Ac3 Ac 0.816 0.184 0.000
Nd1 Nd 0.730 0.270 0.500
Nd2 Nd 0.270 0.730 0.500
Nd3 Nd 0.575 0.425 0.000
Nd4 Nd 0.000 0.000 0.000
Nd5 Nd 0.425 0.575 0.000
Nd6 Nd 0.908 0.092 0.500
Nd7 Nd 0.092 0.908 0.500
Tm1 Tm 0.647 0.353 0.500
Tm2 Tm 0.353 0.647 0.500

***

6.
# AcNd4Tm | the Alexandria database | PBE-GGA | relaxed
# * M_tot: 0.00 μB/f.u.
# * ΔE_f: 56.9 kJ/mol of atoms
# * raw total energy: -24.11 eV/cell
data_AcNd4Tm
_space_group_name_H-M_alt 'P 1'
_space_group_IT_number 1
_space_group_name_Hall 'P 1'
_cell_length_a 4.699
_cell_length_b 4.699
_cell_length_c 11.337
_cell_angle_alpha 90.00
_cell_angle_beta 90.00
_cell_angle_gamma 90.00
loop_
_atom_site_label
_atom_site_type_symbol
_atom_site_fract_x
_atom_site_fract_y
_atom_site_fract_z
Ac1 Ac 0.997 0.001 0.502
Nd1 Nd 0.997 0.501 0.768
Nd2 Nd 0.997 0.501 0.236
Nd3 Nd 0.497 0.001 0.236
Nd4 Nd 0.497 0.001 0.768
Tm1 Tm 0.497 0.501 0.002

***

7.
# Ac2NdTm | the Alexandria database | PBE-GGA | relaxed
# * M_tot: 0.00 μB/f.u.
# * ΔE_f: 6.3 kJ/mol of atoms
# * raw total energy: -17.19 eV/cell
data_Ac2NdTm
_space_group_name_H-M_alt 'P 1'
_space_group_IT_number 1
_space_group_name_Hall 'P 1'
_cell_length_a 3.818
_cell_length_b 3.818
_cell_length_c 12.367
_cell_angle_alpha 81.12
_cell_angle_beta 81.12
_cell_angle_gamma 60.00
loop_
_atom_site_label
_atom_site_type_symbol
_atom_site_fract_x
_atom_site_fract_y
_atom_site_fract_z
Ac1 Ac 0.082 0.082 0.755
Ac2 Ac 0.252 0.252 0.244
Nd1 Nd 0.499 0.499 0.503
Tm1 Tm 0.667 0.667 0.998

***

8.
# Ac4NdTm2 | the Alexandria database | PBE-GGA | relaxed
# * M_tot: 0.00 μB/f.u.
# * ΔE_f: 9.6 kJ/mol of atoms
# * raw total energy: -58.89 eV/cell
data_Ac4NdTm2
_space_group_name_H-M_alt 'P 1'
_space_group_IT_number 1
_space_group_name_Hall 'P 1'
_cell_length_a 7.190
_cell_length_b 7.190
_cell_length_c 13.197
_cell_angle_alpha 97.11
_cell_angle_beta 97.11
_cell_angle_gamma 123.61
loop_
_atom_site_label
_atom_site_type_symbol
_atom_site_fract_x
_atom_site_fract_y
_atom_site_fract_z
Ac1 Ac 0.516 0.294 0.713
Ac2 Ac 0.294 0.516 0.213
Ac3 Ac 0.168 0.814 0.855
Ac4 Ac 0.814 0.168 0.355
Ac5 Ac 0.025 0.339 0.635
Ac6 Ac 0.888 0.684 0.292
Ac7 Ac 0.684 0.888 0.792
Ac8 Ac 0.339 0.025 0.135
Nd1 Nd 0.406 0.785 0.504
Nd2 Nd 0.785 0.406 0.004
Tm1 Tm 0.388 0.261 0.434
Tm2 Tm 0.774 0.921 0.069
Tm3 Tm 0.921 0.774 0.569
Tm4 Tm 0.261 0.388 0.934

***

Q: The lowest raw total energy belongs to which entry?
A: Ac2Nd12Tm5

***

Repeat the second record exactly.
# Ac2Nd12Tm5 | the Alexandria database | PBE-GGA | relaxed
# * M_tot: 0.00 μB/f.u.
# * ΔE_f: 11.4 kJ/mol of atoms
# * raw total energy: -85.54 eV/cell
data_Ac2Nd12Tm5
_space_group_name_H-M_alt 'P 1'
_space_group_IT_number 1
_space_group_name_Hall 'P 1'
_cell_length_a 11.739
_cell_length_b 8.862
_cell_length_c 9.593
_cell_angle_alpha 70.09
_cell_angle_beta 90.00
_cell_angle_gamma 131.48
loop_
_atom_site_label
_atom_site_type_symbol
_atom_site_fract_x
_atom_site_fract_y
_atom_site_fract_z
Ac1 Ac 0.733 0.000 0.000
Ac2 Ac 0.267 0.000 0.000
Nd1 Nd 0.126 0.253 0.059
Nd2 Nd 0.053 0.622 0.798
Nd3 Nd 0.569 0.622 0.798
Nd4 Nd 0.174 0.779 0.425
Nd5 Nd 0.605 0.779 0.425
Nd6 Nd 0.422 0.845 0.778
Nd7 Nd 0.578 0.155 0.222
Nd8 Nd 0.826 0.221 0.575
Nd9 Nd 0.395 0.221 0.575
Nd10 Nd 0.947 0.378 0.202
Nd11 Nd 0.431 0.378 0.202
Nd12 Nd 0.874 0.747 0.941
Tm1 Tm 0.190 0.379 0.668
Tm2 Tm 0.305 0.610 0.245
Tm3 Tm 0.000 0.000 0.500
Tm4 Tm 0.695 0.390 0.755
Tm5 Tm 0.810 0.621 0.332

***

Please write out number 4 again, unchanged.
# Ac5Nd5Tm2 | the Alexandria database | PBE-GGA | relaxed
# * M_tot: 0.00 μB/f.u.
# * ΔE_f: 7.7 kJ/mol of atoms
# * raw total energy: -52.37 eV/cell
data_Ac5Nd5Tm2
_space_group_name_H-M_alt 'P 1'
_space_group_IT_number 1
_space_group_name_Hall 'P 1'
_cell_length_a 5.955
_cell_length_b 9.510
_cell_length_c 9.547
_cell_angle_alpha 66.06
_cell_angle_beta 71.83
_cell_angle_gamma 71.75
loop_
_atom_site_label
_atom_site_type_symbol
_atom_site_fract_x
_atom_site_fract_y
_atom_site_fract_z
Ac1 Ac 0.878 0.784 0.460
Ac2 Ac 0.252 0.737 0.760
Ac3 Ac 0.748 0.263 0.240
Ac4 Ac 0.122 0.216 0.540
Ac5 Ac 0.000 0.000 0.000
Nd1 Nd 0.500 0.500 0.500
Nd2 Nd 0.377 0.292 0.954
Nd3 Nd 0.377 0.961 0.285
Nd4 Nd 0.623 0.039 0.715
Nd5 Nd 0.623 0.708 0.046
Tm1 Tm 0.872 0.456 0.799
Tm2 Tm 0.128 0.544 0.201